1.
PrHg: relaxed, PBE.

abc: 4.5076 4.5076 4.5076
angles: 60.00 60.00 60.00
Positions (direct):
Pr: 0.0000 0.0000 0.0000
Hg: 0.5000 0.5000 0.5000

## Properties
The energy of formation comes out at -238 meV/atom. Its symmetry is Fm-3m.

2.
Hg2P: relaxed, PBE.

abc: 5.8270 5.8270 5.8270
angles: 60.00 60.00 60.00
Positions (direct):
Hg: 0.0000 0.0000 0.0000
Hg: 0.0000 0.0000 0.5000
Hg: 0.0000 0.5000 0.0000
Hg: 0.5000 0.0000 0.0000
P: 0.3750 0.3750 0.3750
P: 0.6250 0.6250 0.6250

## Properties
The polymorph energy (0 for the lowest one) comes out at 522.1 meV/atom. Its symmetry is Fd-3m.

3.
Ho2Lu3Hg3: relaxed, PBE.

abc: 6.8776 6.8776 5.1053
angles: 90.00 90.00 120.00
Positions (direct):
Ho: 0.0000 0.0000 0.0000
Ho: 0.3333 0.6667 0.5000
Lu: 0.3405 0.1703 0.5000
Lu: 0.8297 0.1703 0.5000
Lu: 0.8297 0.6595 0.5000
Hg: 0.5029 0.0057 0.0000
Hg: 0.5029 0.4971 0.0000
Hg: 0.9943 0.4971 0.0000

## Properties
The polymorph energy (0 for the lowest one) comes out at 99.0 meV/atom. The energy of formation comes out at -149 meV/atom. Its symmetry is P-6m2.

4.
Gd2Ni2Pt: relaxed, PBE.

abc: 5.3091 5.3091 5.3091
angles: 131.80 120.09 80.34
Positions (direct):
Gd: 0.2035 0.2035 0.0000
Gd: 0.7965 0.7965 0.0000
Ni: 0.2259 0.5000 0.7259
Ni: 0.7741 0.5000 0.2741
Pt: 0.5000 0.0000 0.5000

## Properties
The energy of formation comes out at -678 meV/atom. Its symmetry is Immm.

5.
AcErTl: relaxed, PBE.

abc: 5.4018 5.4018 5.4018
angles: 60.00 60.00 60.00
Positions (direct):
Ac: 0.0000 0.0000 0.0000
Er: 0.5000 0.5000 0.5000
Tl: 0.2500 0.2500 0.2500

## Properties
The polymorph energy (0 for the lowest one) comes out at 259.2 meV/atom. Its symmetry is F-43m.

6.
YCdBi2: relaxed, PBE.

abc: 5.4819 5.4819 5.4819
angles: 60.00 60.00 60.00
Positions (direct):
Y: 0.0000 0.0000 0.0000
Cd: 0.2500 0.2500 0.2500
Bi: 0.5000 0.5000 0.5000
Bi: 0.7500 0.7500 0.7500

## Properties
Its symmetry is F-43m.

Number 1: final energy -0.2039 Ry per atom. Number 2: final energy -0.0841 Ry per atom. Number 3: final energy -0.2279 Ry per atom. Number 4: final energy -0.4394 Ry per atom. Number 5: final energy -0.2698 Ry per atom. Number 6: final energy -0.2958 Ry per atom.